Density functional theory data (PBE) for a relaxed Hf4F crystal.

Lattice parameters (Å, degrees): 4.5851 4.5851 4.5851 90.00 90.00 90.00
With the nearest neighbours (Å) after each atom.
Space group Pm-3m (No. 221)
Asymmetric unit:
Hf1 0.0000 0.0000 0.0000 (multiplicity 1)  12 Hf 3.24
Hf2 0.0000 0.5000 0.5000 (multiplicity 3)  2 F 2.29
F1 0.5000 0.5000 0.5000 (multiplicity 1)  6 Hf 2.29

Output
As for the calculated volume: 96 Å³/cell.

=====

Density functional theory data (PBE) for a relaxed HfF3 crystal.

Lattice parameters (Å, degrees): 2.8457 7.6837 4.9847 90.00 90.00 90.00
With the nearest neighbours (Å) after each atom.
Space group Imm2 (No. 44)
Asymmetric unit:
Hf1 0.0000 0.0000 0.0000 (multiplicity 2)  6 F 2.11-2.14
F1 0.0000 0.3234 0.3329 (multiplicity 4)  2 Hf 2.14
F2 0.0000 0.5000 0.8134 (multiplicity 2)  2 Hf 2.11

Output
As for the calculated volume: 109 Å³/cell.

=====

Density functional theory data (PBE) for a relaxed HfF3 crystal.

Lattice parameters (Å, degrees): 5.4474 5.4474 5.4474 90.00 90.00 90.00
With the nearest neighbours (Å) after each atom.
Space group Fm-3m (No. 225)
Asymmetric unit:
Hf1 0.0000 0.0000 0.0000 (multiplicity 4)  8 F 2.36
F1 0.0000 0.0000 0.5000 (multiplicity 4)  8 F 2.36
F2 0.2500 0.2500 0.2500 (multiplicity 8)  4 Hf 2.36, 4 F 2.36

Output
As for the calculated volume: 162 Å³/cell.

=====

Density functional theory data (PBE) for a relaxed Hf2HgF crystal.

Lattice parameters (Å, degrees): 5.1333 5.1333 13.4125 90.00 90.00 90.00
With the nearest neighbours (Å) after each atom.
Space group I-42d (No. 122)
Asymmetric unit:
Hf1 0.1430 0.2500 0.1250 (multiplicity 8)  2 F 2.24
Hg1 0.0000 0.0000 0.5000 (multiplicity 4)  4 Hf 2.80
F1 0.0000 0.0000 0.0000 (multiplicity 4)  4 Hf 2.24

Output
As for the calculated volume: 353 Å³/cell. The energy above the most stable polymorph in this dataset is 166.5 meV per atom.

=====

Density functional theory data (PBE) for a relaxed HfHg2F11 crystal.

Lattice parameters (Å, degrees): 8.1380 10.0200 11.0430 90.00 90.00 90.00
With the nearest neighbours (Å) after each atom.
Space group Ibam (No. 72)
Asymmetric unit:
Hf1 0.0000 0.0000 0.2500 (multiplicity 4)  8 F 2.03-2.17
Hg1 0.1656 0.3167 0.0000 (multiplicity 8)  5 F 2.14-2.35
F1 0.0000 0.5000 0.0000 (multiplicity 4)  2 F 2.17, 2 Hg 2.28
F2 0.0903 0.1875 0.1771 (multiplicity 16)  1 Hf 2.17, 1 F 2.18, 1 Hg 2.42
F3 0.1207 0.3074 0.5000 (multiplicity 8)  2 Hg 2.14-2.33, 1 F 2.17
F4 0.1784 0.0446 0.3724 (multiplicity 16)  1 Hf 2.03

Output
As for the calculated volume: 900 Å³/cell.

=====

Density functional theory data (PBE) for a relaxed HfHg2F6 crystal.

Lattice parameters (Å, degrees): 5.8003 5.2596 10.1277 90.00 90.65 90.00
With the nearest neighbours (Å) after each atom.
Space group P2_1/c (No. 14)
Asymmetric unit:
Hf1 0.0000 0.0000 0.0000 (multiplicity 2)  6 F 2.00-2.02
Hg1 0.4366 0.0152 0.6922 (multiplicity 4)  3 F 2.42-2.50
F1 0.0592 0.5328 0.3067 (multiplicity 4)  1 Hf 2.00
F2 0.2095 0.1953 0.5085 (multiplicity 4)  1 Hf 2.01
F3 0.2892 0.7009 0.5386 (multiplicity 4)  1 Hf 2.02

Output
As for the calculated volume: 309 Å³/cell.

=====

Density functional theory data (PBE) for a relaxed Hf2Hg2F crystal.

Lattice parameters (Å, degrees): 6.1923 6.1923 5.0704 90.00 90.00 90.00
With the nearest neighbours (Å) after each atom.
Space group P4/mbm (No. 127)
Asymmetric unit:
Hf1 0.1643 0.3357 0.0000 (multiplicity 4)  2 F 2.31
Hg1 0.1660 0.6660 0.5000 (multiplicity 4)  1 Hg 2.91, 2 Hf 2.94
F1 0.0000 0.0000 0.0000 (multiplicity 2)  4 Hf 2.31

Output
As for the calculated volume: 194 Å³/cell. The energy above the most stable polymorph in this dataset is 0.0 meV per atom.

=====

Density functional theory data (PBE) for a relaxed Hf2HgF crystal.

Lattice parameters (Å, degrees): 6.6853 6.6853 6.6853 90.00 90.00 90.00
With the nearest neighbours (Å) after each atom.
Space group Fm-3m (No. 225)
Asymmetric unit:
Hf1 0.2500 0.2500 0.2500 (multiplicity 8)  4 Hg 2.89, 4 F 2.89
Hg1 0.0000 0.0000 0.0000 (multiplicity 4)  8 Hf 2.89
F1 0.0000 0.0000 0.5000 (multiplicity 4)  8 Hf 2.89

Output
As for the calculated volume: 299 Å³/cell. The energy above the most stable polymorph in this dataset is 0.0 meV per atom.

=====

What did we get for E_form (uncorrected)? Answer: -534; -3126; -2619; -298; -1868; -2555; -755; -465 meV per atom, in the order shown.